(1)
! DyTcB4 GGA-PBE optimized geometry; values from VASP
&SYSTEM
  ibrav = 0, nat = 6, ntyp = 3
/
ATOMIC_SPECIES
Dy 162.50 Dy.upf
Tc 98.00 Tc.upf
B 10.81 B.upf
ATOMIC_POSITIONS angstrom
Dy 0.0000 0.0000 0.0000
Tc 0.0000 0.0000 3.4959
B 0.0000 1.8172 1.9355
B 0.0000 1.8172 5.0562
B 1.5737 0.9086 1.9355
B 1.5737 0.9086 5.0562
CELL_PARAMETERS angstrom
3.1475 0.0000 0.0000
-1.5737 2.7258 0.0000
0.0000 0.0000 6.9917
! - Energy above the most stable polymorph in this dataset: 0.000 eV/atom

(2)
! Dy5BTe4 GGA-PBE optimized geometry; values from VASP
&SYSTEM
  ibrav = 0, nat = 10, ntyp = 3
/
ATOMIC_SPECIES
Dy 162.50 Dy.upf
B 10.81 B.upf
Te 127.60 Te.upf
ATOMIC_POSITIONS angstrom
Dy 0.0000 0.0000 0.0000
Dy 3.9021 2.3703 -0.1833
Dy 2.4097 -0.8780 2.8314
Dy 2.3703 5.6580 -0.1833
Dy 0.8780 2.4097 2.8314
B 0.0000 0.0000 2.7118
Te 6.6053 0.8308 -0.1791
Te 0.8308 2.9548 -0.1791
Te 3.9492 1.8253 2.8356
Te -1.8253 3.9492 2.8356
CELL_PARAMETERS angstrom
-4.7801 4.7801 3.0147
4.7801 -4.7801 3.0147
4.7801 4.7801 -3.0147
! - Total energy: -5.3565 eV per atom

(3)
! DyThB GGA-PBE optimized geometry; values from VASP
&SYSTEM
  ibrav = 0, nat = 3, ntyp = 3
/
ATOMIC_SPECIES
Dy 162.50 Dy.upf
Th 232.04 Th.upf
B 10.81 B.upf
ATOMIC_POSITIONS angstrom
Dy 0.0000 0.0000 0.0000
Th 3.2397 3.2397 3.2397
B 1.6198 1.6198 1.6198
CELL_PARAMETERS angstrom
0.0000 3.2397 3.2397
3.2397 0.0000 3.2397
3.2397 3.2397 0.0000
! - Energy above the most stable polymorph in this dataset: 0.000 eV/atom

(4)
! DyThB4 GGA-PBE optimized geometry; values from VASP
&SYSTEM
  ibrav = 0, nat = 6, ntyp = 3
/
ATOMIC_SPECIES
Dy 162.50 Dy.upf
Th 232.04 Th.upf
B 10.81 B.upf
ATOMIC_POSITIONS angstrom
Dy 0.0000 0.0000 0.0000
Th 0.0000 0.0000 4.0538
B 1.6586 -0.9560 2.0156
B 1.6586 0.9560 2.0156
B 0.0000 1.9122 2.0381
B 0.0000 3.8243 2.0381
CELL_PARAMETERS angstrom
-1.6586 2.8682 4.0538
1.6586 -2.8682 4.0538
1.6586 2.8682 -4.0538
! - Energy above the most stable polymorph in this dataset: 0.035 eV/atom

(5)
! DyThB4 GGA-PBE optimized geometry; values from VASP
&SYSTEM
  ibrav = 0, nat = 6, ntyp = 3
/
ATOMIC_SPECIES
Dy 162.50 Dy.upf
Th 232.04 Th.upf
B 10.81 B.upf
ATOMIC_POSITIONS angstrom
Dy 0.0000 0.0000 0.0000
Th 0.0000 0.0000 4.0557
B 0.0000 1.9057 1.9252
B 0.0000 1.9057 6.1861
B 1.6504 0.9528 1.9252
B 1.6504 0.9528 6.1861
CELL_PARAMETERS angstrom
3.3007 0.0000 0.0000
-1.6504 2.8585 0.0000
0.0000 0.0000 8.1113
! - Energy above the most stable polymorph in this dataset: 0.000 eV/atom

(6)
! DyTm3Tl2B2 GGA-PBE optimized geometry; values from VASP
&SYSTEM
  ibrav = 0, nat = 8, ntyp = 4
/
ATOMIC_SPECIES
Dy 162.50 Dy.upf
Tm 168.93 Tm.upf
Tl 204.38 Tl.upf
B 10.81 B.upf
ATOMIC_POSITIONS angstrom
Dy 0.0000 0.0000 0.0000
Tm 0.0000 0.0000 5.3444
Tm 0.0000 2.0804 8.3603
Tm 0.0000 2.0804 13.6534
Tl 0.0000 0.0000 11.0119
Tl 0.0000 2.0804 2.6949
B 1.8017 1.0402 6.8486
B 1.8017 1.0402 15.1751
CELL_PARAMETERS angstrom
3.6034 0.0000 0.0000
-1.8017 3.1206 0.0000
0.0000 0.0000 16.7267
! - Total energy: -4.6281 eV per atom

(7)
! Dy3TmTl2B2 GGA-PBE optimized geometry; values from VASP
&SYSTEM
  ibrav = 0, nat = 8, ntyp = 4
/
ATOMIC_SPECIES
Dy 162.50 Dy.upf
Tm 168.93 Tm.upf
Tl 204.38 Tl.upf
B 10.81 B.upf
ATOMIC_POSITIONS angstrom
Dy 0.0000 0.0000 0.0000
Dy 0.0000 0.0000 5.3942
Dy 0.0000 2.0946 8.4943
Tm 0.0000 2.0946 13.8309
Tl 0.0000 0.0000 11.1861
Tl 0.0000 2.0946 2.7012
B 1.8139 1.0473 6.9378
B 1.8139 1.0473 15.3403
CELL_PARAMETERS angstrom
3.6279 0.0000 0.0000
-1.8139 3.1418 0.0000
0.0000 0.0000 16.8738
! - Total energy: -4.6444 eV per atom

(8)
! DyTmB4 GGA-PBE optimized geometry; values from VASP
&SYSTEM
  ibrav = 0, nat = 6, ntyp = 3
/
ATOMIC_SPECIES
Dy 162.50 Dy.upf
Tm 168.93 Tm.upf
B 10.81 B.upf
ATOMIC_POSITIONS angstrom
Dy 0.0000 0.0000 0.0000
Tm 0.0000 0.0000 3.8125
B 1.6380 -0.9453 1.9121
B 1.6380 0.9453 1.9121
B 0.0000 1.8914 1.9003
B 0.0000 3.7820 1.9003
CELL_PARAMETERS angstrom
-1.6380 2.8367 3.8125
1.6380 -2.8367 3.8125
1.6380 2.8367 -3.8125
! - Energy above the most stable polymorph in this dataset: 0.003 eV/atom

(9)
! DyTmB4 GGA-PBE optimized geometry; values from VASP
&SYSTEM
  ibrav = 0, nat = 6, ntyp = 3
/
ATOMIC_SPECIES
Dy 162.50 Dy.upf
Tm 168.93 Tm.upf
B 10.81 B.upf
ATOMIC_POSITIONS angstrom
Dy 0.0000 0.0000 0.0000
Tm 0.0000 0.0000 3.8100
B 0.0000 1.8915 1.9366
B 0.0000 1.8915 5.6835
B 1.6381 0.9457 1.9366
B 1.6381 0.9457 5.6835
CELL_PARAMETERS angstrom
3.2761 0.0000 0.0000
-1.6381 2.8372 0.0000
0.0000 0.0000 7.6200
! - Energy above the most stable polymorph in this dataset: 0.000 eV/atom

(10)
! DyUB GGA-PBE optimized geometry; values from VASP
&SYSTEM
  ibrav = 0, nat = 3, ntyp = 3
/
ATOMIC_SPECIES
Dy 162.50 Dy.upf
U 238.03 U.upf
B 10.81 B.upf
ATOMIC_POSITIONS angstrom
Dy 0.0000 0.0000 0.0000
U 3.1097 3.1097 3.1097
B 1.5549 1.5549 1.5549
CELL_PARAMETERS angstrom
0.0000 3.1097 3.1097
3.1097 0.0000 3.1097
3.1097 3.1097 0.0000
! - Energy above the most stable polymorph in this dataset: 0.000 eV/atom

(11)
! DyBW GGA-PBE optimized geometry; values from VASP
&SYSTEM
  ibrav = 0, nat = 3, ntyp = 3
/
ATOMIC_SPECIES
Dy 162.50 Dy.upf
B 10.81 B.upf
W 183.84 W.upf
ATOMIC_POSITIONS angstrom
Dy 0.0000 0.0000 0.0000
B 1.6775 1.6775 0.0000
W 0.0000 0.0000 2.8018
CELL_PARAMETERS angstrom
3.3550 0.0000 0.0000
0.0000 3.3550 0.0000
0.0000 0.0000 5.6036
! - Total energy: -5.7319 eV per atom

(12)
! DyB4W GGA-PBE optimized geometry; values from VASP
&SYSTEM
  ibrav = 0, nat = 6, ntyp = 3
/
ATOMIC_SPECIES
Dy 162.50 Dy.upf
B 10.81 B.upf
W 183.84 W.upf
ATOMIC_POSITIONS angstrom
Dy 0.0000 0.0000 0.0000
B 0.0000 1.8042 1.9595
B 0.0000 1.8042 5.1888
B 1.5625 0.9021 1.9595
B 1.5625 0.9021 5.1888
W 0.0000 0.0000 3.5742
CELL_PARAMETERS angstrom
3.1250 0.0000 0.0000
-1.5625 2.7063 0.0000
0.0000 0.0000 7.1483
! - Energy above the most stable polymorph in this dataset: 0.127 eV/atom

(13)
! DyB4W GGA-PBE optimized geometry; values from VASP
&SYSTEM
  ibrav = 0, nat = 6, ntyp = 3
/
ATOMIC_SPECIES
Dy 162.50 Dy.upf
B 10.81 B.upf
W 183.84 W.upf
ATOMIC_POSITIONS angstrom
Dy 0.0000 0.0000 0.0000
B 1.5808 -0.8855 1.7718
B 1.5808 0.8855 1.7718
B 0.0000 1.8321 1.7385
B 0.0000 3.6032 1.7385
W 0.0000 0.0000 3.5103
CELL_PARAMETERS angstrom
-1.5808 2.7176 3.5103
1.5808 -2.7176 3.5103
1.5808 2.7176 -3.5103
! - Energy above the most stable polymorph in this dataset: 0.187 eV/atom

(14)
! DyB4W GGA-PBE optimized geometry; values from VASP
&SYSTEM
  ibrav = 0, nat = 24, ntyp = 3
/
ATOMIC_SPECIES
Dy 162.50 Dy.upf
B 10.81 B.upf
W 183.84 W.upf
ATOMIC_POSITIONS angstrom
Dy 0.7653 1.7451 0.0000
Dy 2.2502 7.5741 0.0000
Dy 3.7809 4.0838 0.0000
Dy 5.2657 9.9128 0.0000
B 0.1460 8.0818 1.8118
B 0.6882 6.3808 1.8118
B 0.8049 11.2831 1.8118
B 1.2860 9.4824 1.8118
B 1.7296 3.6534 1.8118
B 2.2106 5.4542 1.8118
B 2.3273 0.5519 1.8118
B 2.8695 2.2529 1.8118
B 3.1616 9.4050 1.8118
B 3.7038 11.1060 1.8118
B 3.8205 6.2037 1.8118
B 4.3015 8.0045 1.8118
B 4.7451 2.1755 1.8118
B 5.2261 0.3748 1.8118
B 5.3428 5.2770 1.8118
B 5.8850 3.5761 1.8118
W 0.7893 4.8434 0.0000
W 2.2262 10.6723 0.0000
W 3.8049 0.9856 0.0000
W 5.2418 6.8145 0.0000
CELL_PARAMETERS angstrom
6.0311 0.0000 0.0000
0.0000 11.6579 0.0000
0.0000 0.0000 3.6236
! - Energy above the most stable polymorph in this dataset: 0.000 eV/atom

(15)
! DyYB5 GGA-PBE optimized geometry; values from VASP
&SYSTEM
  ibrav = 0, nat = 7, ntyp = 3
/
ATOMIC_SPECIES
Dy 162.50 Dy.upf
Y 88.91 Y.upf
B 10.81 B.upf
ATOMIC_POSITIONS angstrom
Dy 0.0000 0.0000 0.0000
Y 0.0000 0.0000 3.9386
B 1.6366 -0.9199 1.9667
B 1.6366 0.9199 1.9667
B 0.0000 1.7598 1.9684
B 0.0000 3.3407 1.9713
B 0.0000 4.9216 1.9684
CELL_PARAMETERS angstrom
-1.6366 3.3407 3.8689
1.6366 -3.3407 3.8689
1.6366 3.3407 -3.8689
! - Total energy: -6.7695 eV per atom

(16)
! DyYB4 GGA-PBE optimized geometry; values from VASP
&SYSTEM
  ibrav = 0, nat = 6, ntyp = 3
/
ATOMIC_SPECIES
Dy 162.50 Dy.upf
Y 88.91 Y.upf
B 10.81 B.upf
ATOMIC_POSITIONS angstrom
Dy 0.0000 0.0000 0.0000
Y 0.0000 0.0000 3.8592
B 1.6476 -0.9509 1.9291
B 1.6476 0.9509 1.9291
B 0.0000 1.9022 1.9301
B 0.0000 3.8041 1.9301
CELL_PARAMETERS angstrom
-1.6476 2.8531 3.8592
1.6476 -2.8531 3.8592
1.6476 2.8531 -3.8592
! - Total energy: -6.8594 eV per atom

(17)
! DyYB4 GGA-PBE optimized geometry; values from VASP
&SYSTEM
  ibrav = 0, nat = 6, ntyp = 3
/
ATOMIC_SPECIES
Dy 162.50 Dy.upf
Y 88.91 Y.upf
B 10.81 B.upf
ATOMIC_POSITIONS angstrom
Dy 0.0000 0.0000 0.0000
Y 0.0000 0.0000 3.8573
B 0.0000 1.9028 1.9247
B 0.0000 1.9028 5.7899
B 1.6479 0.9514 1.9247
B 1.6479 0.9514 5.7899
CELL_PARAMETERS angstrom
3.2957 0.0000 0.0000
-1.6479 2.8542 0.0000
0.0000 0.0000 7.7146
! - Total energy: -6.8591 eV per atom

(18)
! DyYB GGA-PBE optimized geometry; values from VASP
&SYSTEM
  ibrav = 0, nat = 3, ntyp = 3
/
ATOMIC_SPECIES
Dy 162.50 Dy.upf
Y 88.91 Y.upf
B 10.81 B.upf
ATOMIC_POSITIONS angstrom
Dy 0.0000 0.0000 0.0000
Y 3.2080 3.2080 3.2080
B 1.6040 1.6040 1.6040
CELL_PARAMETERS angstrom
0.0000 3.2080 3.2080
3.2080 0.0000 3.2080
3.2080 3.2080 0.0000
! - Energy above the most stable polymorph in this dataset: 0.000 eV/atom

(19)
! DyYB3 GGA-PBE optimized geometry; values from VASP
&SYSTEM
  ibrav = 0, nat = 5, ntyp = 3
/
ATOMIC_SPECIES
Dy 162.50 Dy.upf
Y 88.91 Y.upf
B 10.81 B.upf
ATOMIC_POSITIONS angstrom
Dy 0.0000 0.0000 0.0000
Y 2.9418 0.0000 2.5305
B 0.1855 0.0000 2.6199
B 0.8480 0.0000 4.0597
B 1.5330 0.0000 5.4917
CELL_PARAMETERS angstrom
2.7770 -2.5880 0.0000
2.7770 2.5880 0.0000
-1.2307 0.0000 5.6084
! - Total energy: -6.4183 eV per atom

(20)
! Dy5Zn2B6 GGA-PBE optimized geometry; values from VASP
&SYSTEM
  ibrav = 0, nat = 13, ntyp = 3
/
ATOMIC_SPECIES
Dy 162.50 Dy.upf
Zn 65.41 Zn.upf
B 10.81 B.upf
ATOMIC_POSITIONS angstrom
Dy 0.0000 0.0000 0.0000
Dy 0.0000 0.0000 6.3725
Dy 0.0000 0.0000 10.9473
Dy 0.0000 0.0000 14.8900
Dy 0.0000 0.0000 19.4647
Zn 0.0000 0.0000 2.8180
Zn 0.0000 0.0000 23.0192
B -0.9038 -1.5654 12.9186
B -1.8076 0.0000 12.9186
B 0.9038 -1.5654 12.9186
B -0.9038 1.5654 12.9186
B 1.8076 0.0000 12.9186
B 0.9038 1.5654 12.9186
CELL_PARAMETERS angstrom
2.7083 1.5636 8.6124
-2.7083 1.5636 8.6124
0.0000 -3.1273 8.6124
! - Total energy: -5.2701 eV per atom

(21)
! DyZnB4 GGA-PBE optimized geometry; values from VASP
&SYSTEM
  ibrav = 0, nat = 6, ntyp = 3
/
ATOMIC_SPECIES
Dy 162.50 Dy.upf
Zn 65.41 Zn.upf
B 10.81 B.upf
ATOMIC_POSITIONS angstrom
Dy 0.0000 0.0000 0.0000
Zn 0.0000 0.0000 3.5693
B 0.0000 1.8351 1.9296
B 0.0000 1.8351 5.2091
B 1.5893 0.9176 1.9296
B 1.5893 0.9176 5.2091
CELL_PARAMETERS angstrom
3.1786 0.0000 0.0000
-1.5893 2.7527 0.0000
0.0000 0.0000 7.1387
! - Energy above the most stable polymorph in this dataset: 0.090 eV/atom

(22)
! DyZnB4 GGA-PBE optimized geometry; values from VASP
&SYSTEM
  ibrav = 0, nat = 6, ntyp = 3
/
ATOMIC_SPECIES
Dy 162.50 Dy.upf
Zn 65.41 Zn.upf
B 10.81 B.upf
ATOMIC_POSITIONS angstrom
Dy 0.0000 0.0000 0.0000
Zn 0.0000 0.0000 3.9176
B 1.5911 -0.9266 1.8689
B 1.5911 0.9266 1.8689
B 0.0000 1.6973 2.0487
B 0.0000 3.5505 2.0487
CELL_PARAMETERS angstrom
-1.5911 2.6239 3.9176
1.5911 -2.6239 3.9176
1.5911 2.6239 -3.9176
! - Energy above the most stable polymorph in this dataset: 0.000 eV/atom

(23)
! DyZrB GGA-PBE optimized geometry; values from VASP
&SYSTEM
  ibrav = 0, nat = 3, ntyp = 3
/
ATOMIC_SPECIES
Dy 162.50 Dy.upf
Zr 91.22 Zr.upf
B 10.81 B.upf
ATOMIC_POSITIONS angstrom
Dy 0.0000 0.0000 0.0000
Zr 3.0752 3.0752 3.0752
B 1.5376 1.5376 1.5376
CELL_PARAMETERS angstrom
0.0000 3.0752 3.0752
3.0752 0.0000 3.0752
3.0752 3.0752 0.0000
! - Energy above the most stable polymorph in this dataset: 0.000 eV/atom

(24)
! DyZrB4 GGA-PBE optimized geometry; values from VASP
&SYSTEM
  ibrav = 0, nat = 6, ntyp = 3
/
ATOMIC_SPECIES
Dy 162.50 Dy.upf
Zr 91.22 Zr.upf
B 10.81 B.upf
ATOMIC_POSITIONS angstrom
Dy 0.0000 0.0000 0.0000
Zr 0.0000 0.0000 3.7180
B 0.0000 1.8592 1.9620
B 0.0000 1.8592 5.4740
B 1.6101 0.9296 1.9620
B 1.6101 0.9296 5.4740
CELL_PARAMETERS angstrom
3.2203 0.0000 0.0000
-1.6101 2.7888 0.0000
0.0000 0.0000 7.4360
! - Total energy: -7.4332 eV per atom

(25)
! DyZrB GGA-PBE optimized geometry; values from VASP
&SYSTEM
  ibrav = 0, nat = 3, ntyp = 3
/
ATOMIC_SPECIES
Dy 162.50 Dy.upf
Zr 91.22 Zr.upf
B 10.81 B.upf
ATOMIC_POSITIONS angstrom
Dy 0.0000 0.0000 0.0000
Zr 1.5891 1.5891 1.5891
B 4.7672 4.7672 4.7672
CELL_PARAMETERS angstrom
0.0000 3.1781 3.1781
3.1781 0.0000 3.1781
3.1781 3.1781 0.0000
! - Energy above the most stable polymorph in this dataset: 1.456 eV/atom

(26)
! ErB GGA-PBE optimized geometry; values from VASP
&SYSTEM
  ibrav = 0, nat = 4, ntyp = 2
/
ATOMIC_SPECIES
Er 167.26 Er.upf
B 10.81 B.upf
ATOMIC_POSITIONS angstrom
Er 0.0000 2.5573 1.2988
Er 2.2147 1.2787 3.8963
B 0.0000 2.5573 3.8963
B 2.2147 1.2787 1.2988
CELL_PARAMETERS angstrom
4.4294 0.0000 0.0000
-2.2147 3.8360 0.0000
0.0000 0.0000 5.1950
! - Energy above the most stable polymorph in this dataset: 0.451 eV/atom

How do the records compare in magnetic moment? In the order shown, they have 0.01 0.00 0.00 0.00 0.00 0.01 0.01 0.00 0.00 0.66 0.02 0.00 0.00 0.00 0.00 0.00 0.00 0.00 0.00 0.00 0.00 0.00 0.00 0.00 0.62 0.68 μB per atom.